*A*
A plane-wave DFT calculation with PBE was carried out for an optimized crystal structure of PuCu2Br8.

The space group is C2/m (No. 12) and the conventional cell measures 13.760, 8.749 and 6.609 Å, with angles of 90.00, 94.54 and 90.00 degrees. The distinct sites, in fractional coordinates, are Pu at (0.000, 0.000, 0.000), Cu at (0.187, 0.000, 0.684), Br at (0.098, 0.219, 0.793), Br at (0.146, 0.500, 0.297) and Br at (0.151, 0.000, 0.293).

The size of the total moment is 3.79 Bohr magnetons per cell.

*B*
A plane-wave DFT calculation with PBE was carried out for an optimized crystal structure of PuCu2Br8.

The space group is C2/m (No. 12) and the conventional cell measures 11.173, 11.807 and 6.544 Å, with angles of 90.00, 106.07 and 90.00 degrees. The distinct sites, in fractional coordinates, are Pu at (0.000, 0.000, 0.000), Cu at (0.194, 0.000, 0.682), Br at (0.078, 0.500, 0.180), Br at (0.103, 0.165, 0.799) and Br at (0.226, 0.000, 0.336).

The size of the total moment is 7.99 Bohr magnetons per cell.

Relative energies, unit kJ/mol of atoms: *A* 3.9; *B* 0.0

*A*
A plane-wave DFT calculation with PBE was carried out for an optimized crystal structure of Rb3CuBr4.

The space group is Pmn2_1 (No. 31) and the conventional cell measures 11.240, 8.861 and 6.949 Å, with angles of 90.00, 90.00 and 90.00 degrees. The distinct sites, in fractional coordinates, are Rb at (0.000, 0.101, 0.000), Rb at (0.222, 0.336, 0.509), Cu at (0.000, 0.804, 0.421), Br at (0.000, 0.084, 0.500), Br at (0.000, 0.733, 0.078) and Br at (0.209, 0.719, 0.522).

The size of the total moment is 0.15 Bohr magnetons per cell.

*B*
A plane-wave DFT calculation with PBE was carried out for an optimized crystal structure of Rb3CuBr4.

The space group is Pmn2_1 (No. 31) and the conventional cell measures 13.494, 10.543 and 4.944 Å, with angles of 90.00, 90.00 and 90.00 degrees. The distinct sites, in fractional coordinates, are Rb at (0.000, 0.125, 0.000), Rb at (0.163, 0.669, 0.437), Cu at (0.000, 0.390, 0.576), Br at (0.000, 0.551, 0.919), Br at (0.000, 0.909, 0.493) and Br at (0.157, 0.304, 0.449).

The size of the total moment is 0.24 Bohr magnetons per cell.

Relative energies, unit kJ/mol of atoms: *A* 3.7; *B* 0.0